## ReSi2Ir (GGA-PBEsol)

Data for a relaxed structure of ReSi2Ir.

Cell: 4.6333 4.6333 4.3146 Å, 106.19 106.19 36.58°
Last column: nearest neighbours and their distance in Å.
Atoms (fractional coordinates):
Re1 0.0000 0.0000 0.0000  7 Si 2.45-2.67
Si1 0.2563 0.2563 0.8857  3 Re 2.45-2.52, 4 Ir 2.55-2.65, 2 Si 2.70
Si2 0.5084 0.5084 0.5241  3 Ir 2.43-2.54, 4 Re 2.53-2.67, 2 Si 2.70
Ir1 0.7605 0.7605 0.4014  7 Si 2.43-2.65

## Properties
The calculation puts the density of states at the Fermi level at 2.0 states/eV/f.u. The total energy is -9.10 eV/atom. As for the crystal system: monoclinic. Its raw formation energy is -439 meV per atom. The value obtained for the calculated volume is 13.19 A^3/atom.

## Sr3Zr2O7 (GGA-PBEsol)

Data for a relaxed structure of Sr3Zr2O7.

Cell: 10.8257 10.8257 10.8257 Å, 158.03 158.03 31.26°
Last column: nearest neighbours and their distance in Å.
Atoms (fractional coordinates):
Sr1 0.0000 0.0000 0.0000  12 O 2.91-2.92
Sr2 0.1861 0.1861 0.0000  1 O 2.38
Sr3 0.8139 0.8139 0.0000  1 O 2.38
Zr1 0.3997 0.3997 0.0000  6 O 2.06-2.09
Zr2 0.6003 0.6003 0.0000  6 O 2.06-2.09
O1 0.0982 0.5982 0.5000  2 Zr 2.06
O2 0.3003 0.3003 0.0000  1 Zr 2.07
O3 0.4018 0.9018 0.5000  2 Zr 2.06
O4 0.5000 0.5000 0.0000  2 Zr 2.09
O5 0.5982 0.0982 0.5000  2 Zr 2.06
O6 0.6997 0.6997 0.0000  1 Zr 2.07
O7 0.9018 0.4018 0.5000  2 Zr 2.06

## Properties
The calculation puts the density of states at the Fermi level at 0.0 states/eV/f.u. The total energy is -8.25 eV/atom. As for the crystal system: tetragonal. Its raw formation energy is -3213 meV per atom. The value obtained for the calculated volume is 14.78 A^3/atom.

## AsAuIO2 (GGA-PBEsol)

Data for a relaxed structure of AsAuIO2.

Cell: 3.9237 3.9237 6.9681 Å, 90.00 90.00 90.00°
Last column: nearest neighbours and their distance in Å.
Atoms (fractional coordinates):
As1 0.0000 0.0000 0.0000  4 I 2.77
Au1 0.5000 0.5000 0.5000  4 O 1.96
I1 0.5000 0.5000 0.0000  4 As 2.77
O1 0.0000 0.5000 0.5000  2 Au 1.96
O2 0.5000 0.0000 0.5000  2 Au 1.96

## Properties
The calculation puts the density of states at the Fermi level at 4.0 states/eV/f.u. The total energy is -3.64 eV/atom. As for the crystal system: tetragonal. Its raw formation energy is 616 meV per atom. The value obtained for the calculated volume is 21.46 A^3/atom.

## CrRh2Au (GGA-PBEsol)

Data for a relaxed structure of CrRh2Au.

Cell: 4.5736 4.5736 2.8214 Å, 90.00 90.00 106.90°
Last column: nearest neighbours and their distance in Å.
Atoms (fractional coordinates):
Cr1 0.0000 0.0000 0.0000  8 Rh 2.69, 2 Au 2.72, 2 Cr 2.82
Rh1 0.0000 0.5000 0.5000  4 Cr 2.69, 4 Au 2.69, 4 Rh 2.72-2.82
Rh2 0.5000 0.0000 0.5000  4 Cr 2.69, 4 Au 2.69, 4 Rh 2.72-2.82
Au1 0.5000 0.5000 0.0000  8 Rh 2.69, 2 Cr 2.72, 2 Au 2.82

## Properties
For the formation energy, the calculation gives 0.16 eV/atom. The calculation puts the density of states at the Fermi level at 5.2 states/eV/f.u. The total energy is -7.45 eV/atom. As for the crystal system: orthorhombic. The value obtained for the calculated volume is 14.12 A^3/atom.